Computed, not measured: a relaxed Ti3NbSb2 crystal at the PBE level of DFT.

## Properties
Total magnetic moment ... 0.00 μB per formula unit
Formation energy from raw total energies ... -221 meV/atom
DOS(E_F) ... 1.18 states/eV per atom
Energy ... -7.220 eV per atom

Cell lengths 7.1664, 3.5882, 17.9025 Å; angles 90.00, 90.00, 90.00 degrees
Space group Pnma (No. 62)
One atom of each set of equivalent atoms:
Ti 0.0260 0.2500 0.1428
Ti 0.1315 0.2500 0.2946
Ti 0.1410 0.7500 0.0323
Nb 0.0589 0.7500 0.5612
Sb 0.1808 0.2500 0.6871
Sb 0.2437 0.2500 0.9140